Compound: AcPuSbTe
Source: Alexandria
Functional: GGA-PBE
Structure: relaxed

abc: 5.6062 5.6062 5.6062
angles: 60.00 60.00 60.00
With the nearest neighbours (Å) after each atom.
Fractional coordinates of all 4 atoms:
Sb1 0.5000 0.5000 0.5000  4 Ac 3.43, 4 Pu 3.43
Pu1 0.2500 0.2500 0.2500  4 Sb 3.43, 4 Te 3.43
Ac1 0.7500 0.7500 0.7500  4 Sb 3.43, 4 Te 3.43
Te1 0.0000 0.0000 0.0000  4 Ac 3.43, 4 Pu 3.43

Results
Polymorph energy (0 for the lowest one) (eV/atom): 0.000
Space group: No. 216

=====

Compound: Mg2ZnCd2Au4
Source: Alexandria
Functional: GGA-PBE
Structure: relaxed

abc: 6.3057 6.3057 6.3057
angles: 96.46 116.34 116.34
With the nearest neighbours (Å) after each atom.
Fractional coordinates of all 9 atoms:
Cd1 0.0000 0.7020 0.7020  1 Zn 2.50, 4 Au 2.80
Cd2 0.0000 0.2980 0.2980  1 Zn 2.50, 4 Au 2.80
Mg1 0.5000 0.7500 0.2500  8 Au 3.16, 4 Cd 3.35
Mg2 0.5000 0.2500 0.7500  8 Au 3.16, 4 Cd 3.35
Au1 0.4731 0.7366 0.7366  1 Zn 2.48
Au2 0.0000 0.7366 0.2634  1 Zn 2.48
Au3 0.5269 0.2634 0.2634  1 Zn 2.48
Au4 0.0000 0.2634 0.7366  1 Zn 2.48
Zn1 0.0000 0.0000 0.0000  4 Au 2.48, 2 Cd 2.50

Results
Formation enthalpy at 0 K (eV per atom): -0.121
Space group: No. 139

=====

Compound: HfZn3I
Source: Alexandria
Functional: GGA-PBE
Structure: relaxed

abc: 5.1459 5.1459 5.1459
angles: 90.00 90.00 90.00
With the nearest neighbours (Å) after each atom.
Fractional coordinates of all 5 atoms:
Hf1 0.5000 0.5000 0.5000  12 Zn 3.64
I1 0.0000 0.0000 0.0000  6 Zn 2.57
Zn1 0.0000 0.0000 0.5000  2 I 2.57
Zn2 0.0000 0.5000 0.0000  2 I 2.57
Zn3 0.5000 0.0000 0.0000  2 I 2.57

Results
Polymorph energy (0 for the lowest one) (eV/atom): 0.599
Space group: No. 221

=====

Compound: Pd3Pt3Au
Source: Alexandria
Functional: GGA-PBE
Structure: relaxed

abc: 4.7305 7.3715 7.3715
angles: 120.00 90.00 90.00
With the nearest neighbours (Å) after each atom.
Fractional coordinates of all 14 atoms:
Pd1 0.7500 0.1902 0.2382  5 Pt 2.77-2.85, 1 Au 2.78, 6 Pd 2.79-2.86
Pd2 0.7500 0.7618 0.9520  5 Pt 2.77-2.85, 1 Au 2.78, 6 Pd 2.79-2.86
Pd3 0.7500 0.0480 0.8098  5 Pt 2.77-2.85, 1 Au 2.78, 6 Pd 2.79-2.86
Pd4 0.2500 0.2382 0.0480  5 Pt 2.77-2.85, 1 Au 2.78, 6 Pd 2.79-2.86
Pd5 0.2500 0.8098 0.7618  5 Pt 2.77-2.85, 1 Au 2.78, 6 Pd 2.79-2.86
Pd6 0.2500 0.9520 0.1902  5 Pt 2.77-2.85, 1 Au 2.78, 6 Pd 2.79-2.86
Pt1 0.7500 0.9036 0.3774  5 Pd 2.77-2.85, 4 Pt 2.79-2.88, 3 Au 2.80-2.86
Pt2 0.2500 0.3774 0.4738  5 Pd 2.77-2.85, 4 Pt 2.79-2.88, 3 Au 2.80-2.86
Pt3 0.2500 0.0964 0.6226  5 Pd 2.77-2.85, 4 Pt 2.79-2.88, 3 Au 2.80-2.86
Pt4 0.7500 0.4738 0.0964  5 Pd 2.77-2.85, 4 Pt 2.79-2.88, 3 Au 2.80-2.86
Pt5 0.2500 0.5262 0.9036  5 Pd 2.77-2.85, 4 Pt 2.79-2.88, 3 Au 2.80-2.86
Pt6 0.7500 0.6226 0.5262  5 Pd 2.77-2.85, 4 Pt 2.79-2.88, 3 Au 2.80-2.86
Au1 0.2500 0.6667 0.3333  3 Pd 2.78, 9 Pt 2.80-2.86
Au2 0.7500 0.3333 0.6667  3 Pd 2.78, 9 Pt 2.80-2.86

Results
Polymorph energy (0 for the lowest one) (eV/atom): 0.037
Formation enthalpy at 0 K (eV per atom): 0.050
Space group: No. 176

=====

Compound: AlRe2Rh
Source: Alexandria
Functional: GGA-PBE
Structure: relaxed

abc: 2.7798 4.1186 5.1325
angles: 90.00 90.00 90.00
With the nearest neighbours (Å) after each atom.
Fractional coordinates of all 4 atoms:
Al1 0.5000 0.5000 0.7500  2 Rh 2.57, 8 Re 2.77, 2 Al 2.78
Rh1 0.5000 0.5000 0.2500  2 Al 2.57, 2 Rh 2.78, 8 Re 2.83
Re1 0.0000 0.0000 0.9870  2 Re 2.43-2.70
Re2 0.0000 0.0000 0.5130  2 Re 2.43-2.70

Results
Formation enthalpy at 0 K (eV per atom): -0.076
Space group: No. 47

=====

Compound: TmZrTiZn
Source: Alexandria
Functional: GGA-PBE
Structure: relaxed

abc: 4.9174 4.9174 4.9174
angles: 60.00 60.00 60.00
With the nearest neighbours (Å) after each atom.
Fractional coordinates of all 4 atoms:
Zr1 0.7500 0.7500 0.7500  4 Zn 3.01, 4 Ti 3.01
Tm1 0.2500 0.2500 0.2500  4 Zn 3.01, 4 Ti 3.01
Zn1 0.5000 0.5000 0.5000  4 Zr 3.01, 4 Tm 3.01
Ti1 0.0000 0.0000 0.0000  4 Zr 3.01, 4 Tm 3.01

Results
Formation enthalpy at 0 K (eV per atom): 0.027
Space group: No. 216

=====

Compound: DyTlS2
Source: Alexandria
Functional: GGA-PBE
Structure: relaxed

abc: 4.0183 4.0183 7.9656
angles: 75.39 75.39 60.00
With the nearest neighbours (Å) after each atom.
Fractional coordinates of all 4 atoms:
Tl1 0.4970 0.4970 0.5090  6 S 3.21-3.35
Dy1 0.6670 0.6670 0.9988  6 S 2.75-2.77
S1 0.2692 0.2692 0.1924  3 Dy 2.75
S2 0.0667 0.0667 0.7998  3 Dy 2.77

Results
VASP energy (eV/atom): -5.278
Space group: No. 160

=====

Compound: DyYAg4
Source: Alexandria
Functional: GGA-PBE
Structure: relaxed

abc: 5.7067 5.7067 5.7067
angles: 60.00 60.00 60.00
With the nearest neighbours (Å) after each atom.
Fractional coordinates of all 6 atoms:
Ag1 0.6250 0.1250 0.6250  6 Ag 2.85
Ag2 0.6250 0.6250 0.6250  6 Ag 2.85
Ag3 0.1250 0.6250 0.6250  6 Ag 2.85
Ag4 0.6250 0.6250 0.1250  6 Ag 2.85
Dy1 0.0000 0.0000 0.0000  12 Ag 3.35, 4 Y 3.49
Y1 0.2500 0.2500 0.2500  12 Ag 3.35, 4 Dy 3.49

Results
Polymorph energy (0 for the lowest one) (eV/atom): 0.141
Formation enthalpy at 0 K (eV per atom): -0.176
Space group: No. 216